Here is Mn2Sn2Os after structural relaxation from the Alexandria database. Energies are from PBE.

Cell lengths 6.3301, 6.3301, 4.0403 Å; angles 90.00, 90.00, 90.00 degrees
Last column: nearest neighbours and their distance in Å.
Atoms (fractional coordinates):
Mn  0.3810  0.8810  0.0000  1 Mn 2.13
Mn  0.8810  0.6190  0.0000  1 Mn 2.13
Mn  0.6190  0.1190  0.0000  1 Mn 2.13
Mn  0.1190  0.3810  0.0000  1 Mn 2.13
Os  0.0000  0.0000  0.0000  4 Mn 2.53
Os  0.5000  0.5000  0.0000  4 Mn 2.53
Sn  0.1820  0.6820  0.5000  6 Mn 2.69-2.81
Sn  0.6820  0.8180  0.5000  6 Mn 2.69-2.81
Sn  0.8180  0.3180  0.5000  6 Mn 2.69-2.81
Sn  0.3180  0.1820  0.5000  6 Mn 2.69-2.81

Raw total energy: -7.009 eV per atom
Excess energy over the best structure of this formula in the dataset: 0 meV per atom
ΔH_f (0 K): 506 meV/atom

=====

Here is MnZn2SnOs after structural relaxation from the Alexandria database. Energies are from PBE.

Cell lengths 4.7271, 4.4387, 4.7271 Å; angles 90.00, 90.00, 90.00 degrees
Last column: nearest neighbours and their distance in Å.
Atoms (fractional coordinates):
Zn  0.0000  0.0000  0.5000  2 Mn 2.36
Zn  0.5000  0.0000  0.0000  2 Mn 2.36
Mn  0.0000  0.0000  0.0000  2 Os 2.22, 4 Zn 2.36
Os  0.0000  0.5000  0.0000  2 Mn 2.22
Sn  0.5000  0.5000  0.5000  8 Zn 3.24, 4 Os 3.34

Raw total energy: -4.511 eV per atom
ΔH_f (0 K): 879 meV/atom